Entry 1:
LaTm3Al8 | PBE | optimized geometry

```
LaTm3Al8
1.0
5.568 0.000 0.000
-2.784 4.822 0.000
0.000 0.000 9.148
Tm Al La
3 8 1
Direct
0.000 0.000 0.932
0.667 0.333 0.429
0.667 0.333 0.066
0.162 0.838 0.245
0.333 0.667 0.003
0.162 0.324 0.245
0.504 0.009 0.757
0.991 0.496 0.757
0.333 0.667 0.497
0.676 0.838 0.245
0.504 0.496 0.757
0.000 0.000 0.568
```

Calculated values
ΔE_f   -476 meV/atom
M_tot   0.0 μB per cell

=====

Entry 2:
Nd2CuPd3 | PBE | optimized geometry

```
Nd2CuPd3
1.0
4.924 0.248 2.134
1.494 4.698 2.134
0.322 0.248 5.357
Cu Nd Pd
1 2 3
Direct
0.000 0.000 0.000
0.372 0.372 0.372
0.628 0.628 0.628
0.000 0.500 0.000
0.500 0.000 0.000
0.000 0.000 0.500
```

Calculated values
ΔE_f   -623 meV/atom
M_tot   0.0 μB per cell

=====

Entry 3:
Pm2Al2GeRh5 | PBE | optimized geometry

```
Pm2Al2GeRh5
1.0
-2.857 1.931 -0.418
-5.160 -8.162 -2.436
-2.336 -1.383 9.582
Rh Pm Al Ge
10 4 4 2
Direct
0.500 0.000 0.500
0.500 0.203 0.065
0.500 0.435 0.297
0.500 0.797 0.935
0.500 0.297 0.565
0.500 0.935 0.203
0.500 0.065 0.797
0.500 0.703 0.435
0.500 0.565 0.703
0.500 0.500 0.000
0.000 0.325 0.825
0.000 0.825 0.675
0.000 0.675 0.175
0.000 0.175 0.325
0.000 0.123 0.623
0.000 0.877 0.377
0.000 0.377 0.123
0.000 0.623 0.877
0.000 0.000 0.000
0.000 0.500 0.500
```

Calculated values
ΔE_f   -767 meV/atom
M_tot   0.0 μB per cell

=====

Entry 4:
TbMg2Tl3 | PBE | optimized geometry

```
TbMg2Tl3
1.0
3.451 0.000 0.000
0.000 9.500 -0.635
-1.725 -2.930 10.458
Tl Tb Mg
6 2 4
Direct
0.708 0.712 0.415
0.064 0.799 0.129
0.440 0.557 0.879
0.936 0.201 0.871
0.292 0.288 0.585
0.560 0.443 0.121
0.681 0.030 0.361
0.319 0.970 0.639
0.073 0.153 0.145
0.927 0.847 0.855
0.689 0.386 0.378
0.311 0.614 0.622
```

Calculated values
ΔE_f   -6 meV/atom
M_tot   0.0 μB per cell